Tb2CdPb9 | PBE | relaxed

Results
DFT total energy = -3.807 eV/atom

Unit cell a=4.777 b=4.777 c=15.460 alpha=90.00 beta=90.00 gamma=90.00
Space group P4/mmm (No. 123)
One atom of each set of equivalent atoms:
Tb 0.000 0.000 0.154 [2 per cell]
Cd 0.000 0.000 0.500 [1 per cell]
Pb 0.000 0.500 0.000 [2 per cell]
Pb 0.000 0.500 0.332 [4 per cell]
Pb 0.500 0.500 0.169 [2 per cell]
Pb 0.500 0.500 0.500 [1 per cell]


Tb2CdPb2 | PBE | relaxed

Results
DFT total energy = -3.864 eV/atom

Unit cell a=4.9252 b=4.9252 c=13.7104 alpha=90.00 beta=90.00 gamma=120.00
Space group P6_3/mmc (No. 194)
One atom of each set of equivalent atoms:
Tb 0.3333 0.6667 0.1052 [4 per cell]
Cd 0.0000 0.0000 0.2500 [2 per cell]
Pb 0.0000 0.0000 0.0000 [2 per cell]
Pb 0.3333 0.6667 0.7500 [2 per cell]


TbCd2Pb | PBE | relaxed

Results
ΔE to the lowest computed polymorph = 0.0000 eV per atom
DFT total energy = -2.877 eV/atom

Unit cell a=4.536 b=4.536 c=4.906 alpha=90.00 beta=90.00 gamma=90.00
Space group P4/mmm (No. 123)
One atom of each set of equivalent atoms:
Tb 0.000 0.000 0.000 [1 per cell]
Cd 0.000 0.500 0.500 [2 per cell]
Pb 0.500 0.500 0.000 [1 per cell]


TbCd11Pb | PBE | relaxed

Results
DFT total energy = -1.433 eV/atom

Unit cell a=6.489 b=13.997 c=7.655 alpha=90.00 beta=114.93 gamma=90.00
Space group C2/m (No. 12)
One atom of each set of equivalent atoms:
Tb 0.000 0.000 0.000 [2 per cell]
Cd 0.000 0.500 0.500 [2 per cell]
Cd 0.082 0.392 0.209 [8 per cell]
Cd 0.187 0.177 0.346 [8 per cell]
Cd 0.250 0.250 0.000 [4 per cell]
Pb 0.000 0.000 0.500 [2 per cell]


TbCd2Pb | PBE | relaxed

Results
ΔE to the lowest computed polymorph = 0.1619 eV per atom
DFT total energy = -2.715 eV/atom

Unit cell a=3.624 b=3.624 c=8.142 alpha=90.00 beta=90.00 gamma=90.00
Space group P4/mmm (No. 123)
One atom of each set of equivalent atoms:
Tb 0.000 0.000 0.000 [1 per cell]
Cd 0.500 0.500 0.246 [2 per cell]
Pb 0.000 0.000 0.500 [1 per cell]


Tb3CdPb3 | PBE | relaxed

Results
DFT total energy = -3.926 eV/atom

Unit cell a=9.3073 b=9.3073 c=6.2324 alpha=90.00 beta=90.00 gamma=120.00
Space group P6_3/m (No. 176)
One atom of each set of equivalent atoms:
Tb 0.0454 0.3710 0.2500 [6 per cell]
Cd 0.3333 0.6667 0.7500 [2 per cell]
Pb 0.0362 0.3322 0.7500 [6 per cell]


Calculated formation energy? In order: -0.178, -0.346, -0.335, -0.018, -0.173, -0.222 eV/atom.
DOS at the Fermi energy? In order: 0.4552, 0.3377, 0.3674, 0.3427, 0.6016, 0.5757 states/eV/atom.